UCoNiGe2 | PBE-GGA | relaxed

Output
Calculated total energy = -35.1 eV/f.u.
Energy of formation = -0.342 eV per atom
DOS(E_F) = 15.07 states/eV/cell
Magnetic moment = 3.4 μB/f.u.

Cell lengths 3.990, 3.990, 10.068 Å; angles 90.00, 90.00, 90.00 degrees
Space group I-4m2 (No. 119)
One atom of each set of equivalent atoms:
U1 0.000 0.000 0.000
Co1 0.000 0.500 0.750
Ni1 0.000 0.500 0.250
Ge1 0.000 0.000 0.375

---

UCoNiGe2 | PBE-GGA | relaxed

Output
Calculated total energy = -35.3 eV/f.u.
Energy of formation = -0.378 eV per atom
DOS(E_F) = 15.99 states/eV/cell
Magnetic moment = 2.0 μB/f.u.

Cell lengths 4.120, 4.120, 9.316 Å; angles 90.00, 90.00, 90.00 degrees
Space group P4/nmm (No. 129, origin choice 2)
One atom of each set of equivalent atoms:
U1 0.250 0.250 0.236
Co1 0.250 0.750 0.000
Ni1 0.250 0.250 0.623
Ge1 0.250 0.250 0.870
Ge2 0.250 0.750 0.500

---

U2CoNi4Ge3 | PBE-GGA | relaxed

Output
Calculated total energy = -69.7 eV/f.u.
Energy of formation = -0.303 eV per atom
DOS(E_F) = 18.45 states/eV/cell
Magnetic moment = 2.9 μB/f.u.

Cell lengths 3.850, 3.850, 10.407 Å; angles 90.00, 90.00, 90.00 degrees
Space group P-4m2 (No. 115)
One atom of each set of equivalent atoms:
U1 0.000 0.500 0.238
Co1 0.500 0.500 0.000
Ni1 0.000 0.000 0.500
Ni2 0.000 0.500 0.855
Ni3 0.500 0.500 0.500
Ge1 0.000 0.000 0.000
Ge2 0.000 0.500 0.631

---

U2Co4NiGe3 | PBE-GGA | relaxed

Output
Calculated total energy = -73.8 eV/f.u.
Energy of formation = -0.314 eV per atom
DOS(E_F) = 10.85 states/eV/cell
Magnetic moment = 0.0 μB/f.u.

Cell lengths 3.727, 3.727, 10.729 Å; angles 90.00, 90.00, 90.00 degrees
Space group P-4m2 (No. 115)
One atom of each set of equivalent atoms:
U1 0.000 0.500 0.236
Co1 0.000 0.000 0.500
Co2 0.000 0.500 0.843
Co3 0.500 0.500 0.500
Ni1 0.500 0.500 0.000
Ge1 0.000 0.000 0.000
Ge2 0.000 0.500 0.626

---

Y2Co3NiGe4 | PBE-GGA | relaxed

Output
Calculated total energy = -64.4 eV/f.u.
Energy of formation = -0.593 eV per atom
DOS(E_F) = 8.45 states/eV/cell
Magnetic moment = 1.0 μB/f.u.

Cell lengths 4.068, 4.068, 9.670 Å; angles 90.00, 90.00, 90.00 degrees
Space group P-4m2 (No. 115)
One atom of each set of equivalent atoms:
Y1 0.000 0.500 0.247
Co1 0.000 0.500 0.873
Co2 0.500 0.500 0.500
Ni1 0.000 0.000 0.500
Ge1 0.000 0.000 0.000
Ge2 0.000 0.500 0.632
Ge3 0.500 0.500 0.000

---

Y2CoNi4Ge3 | PBE-GGA | relaxed

Output
Calculated total energy = -62.8 eV/f.u.
Energy of formation = -0.577 eV per atom
DOS(E_F) = 9.44 states/eV/cell
Magnetic moment = 2.0 μB/f.u.

Cell lengths 4.015, 4.015, 9.791 Å; angles 90.00, 90.00, 90.00 degrees
Space group P-4m2 (No. 115)
One atom of each set of equivalent atoms:
Y1 0.000 0.500 0.247
Co1 0.500 0.500 0.000
Ni1 0.000 0.000 0.500
Ni2 0.000 0.500 0.872
Ni3 0.500 0.500 0.500
Ge1 0.000 0.000 0.000
Ge2 0.000 0.500 0.632

---

YCoNiGe3 | PBE-GGA | relaxed

Output
Calculated total energy = -34.7 eV/f.u.
Energy of formation = -0.257 eV per atom
DOS(E_F) = 12.13 states/eV/cell
Magnetic moment = 0.0 μB/f.u.

Cell lengths 6.158, 13.010, 5.721 Å; angles 90.00, 90.00, 90.00 degrees
Space group Cmcm (No. 63)
One atom of each set of equivalent atoms:
Y1 0.000 0.184 0.250
Co1 0.000 0.401 0.750
Ni1 0.000 0.060 0.750
Ge1 0.000 0.233 0.750
Ge2 0.219 0.500 0.000

---

Y2Co3Ni12Ge | PBE-GGA | relaxed

Output
Calculated total energy = -107.8 eV/f.u.
Energy of formation = 0.024 eV per atom
DOS(E_F) = 77.04 states/eV/cell
Magnetic moment = 8.1 μB/f.u.

Cell lengths 8.2586, 8.2586, 12.0524 Å; angles 90.00, 90.00, 120.00 degrees
Space group R-3m (No. 166, hexagonal axes)
One atom of each set of equivalent atoms:
Y1 0.0000 0.0000 0.2265
Co1 0.0000 0.5000 0.0000
Ni1 0.0210 0.5105 0.2099
Ni2 0.0466 0.5233 0.6019
Ge1 0.0000 0.0000 0.5000

---

ZnCoNiGe | PBE-GGA | relaxed

Output
Calculated total energy = -19.4 eV/f.u.
Energy of formation = -0.167 eV per atom
DOS(E_F) = 11.40 states/eV/cell
Magnetic moment = 0.4 μB/f.u.

Cell lengths 5.784, 5.784, 5.784 Å; angles 90.00, 90.00, 90.00 degrees
Space group F-43m (No. 216)
One atom of each set of equivalent atoms:
Zn1 0.000 0.000 0.000
Co1 0.250 0.250 0.750
Ni1 0.250 0.250 0.250
Ge1 0.000 0.000 0.500

---

ZnCoNiGe | PBE-GGA | relaxed

Output
Calculated total energy = -19.4 eV/f.u.
Energy of formation = -0.168 eV per atom
DOS(E_F) = 3.94 states/eV/cell
Magnetic moment = 0.0 μB/f.u.

Cell lengths 3.865, 3.865, 6.478 Å; angles 90.00, 90.00, 90.00 degrees
Space group I-4m2 (No. 119)
One atom of each set of equivalent atoms:
Zn1 0.000 0.000 0.000
Co1 0.000 0.500 0.250
Ni1 0.000 0.500 0.750
Ge1 0.000 0.000 0.500

---

NpCo3Ge3 | PBE-GGA | relaxed

Output
Calculated total energy = -46.4 eV/f.u.
Energy of formation = 0.245 eV per atom
DOS(E_F) = 35.56 states/eV/cell
Magnetic moment = 5.6 μB/f.u.

Cell lengths 6.366, 6.366, 6.366 Å; angles 90.00, 90.00, 90.00 degrees
Space group Pm-3n (No. 223)
One atom of each set of equivalent atoms:
Np1 0.000 0.000 0.000
Co1 0.000 0.250 0.500
Ge1 0.000 0.500 0.250

---

Np2CoGe3 | PBE-GGA | relaxed

Output
Calculated total energy = -48.1 eV/f.u.
Energy of formation = -0.202 eV per atom
DOS(E_F) = 22.81 states/eV/cell
Magnetic moment = 6.9 μB/f.u.

Cell lengths 10.149, 4.245, 6.249 Å; angles 90.00, 125.41, 90.00 degrees
Space group Cm (No. 8)
One atom of each set of equivalent atoms:
Np1 0.000 0.000 0.000
Np2 0.090 0.000 0.679
Co1 0.380 0.000 0.224
Ge1 0.158 0.500 0.431
Ge2 0.253 0.500 0.103
Ge3 0.347 0.000 0.571